1.
The following is a PBE calculation of a relaxed structure of BaSrPd, from Alexandria via LeMat-Bulk.

Symmetry = F-43m
Total magnetization = 0.00 μB/f.u.
Electronic total energy = -3.33 eV per atom

abc: 5.4555 5.4555 5.4555
angles: 60.00 60.00 60.00
With the nearest neighbours (Å) after each atom.
Atoms (fractional coordinates):
Sr1 0.5000 0.5000 0.5000  4 Pd 3.34
Ba1 0.0000 0.0000 0.0000  4 Pd 3.34
Pd1 0.2500 0.2500 0.2500  4 Sr 3.34, 4 Ba 3.34

2.
The following is a PBE calculation of a relaxed structure of Ba14SrPd, from Alexandria via LeMat-Bulk.

Symmetry = Amm2
Total magnetization = 0.00 μB/f.u.
Electronic total energy = -2.12 eV per atom

abc: 8.9358 8.9358 12.2748
angles: 90.00 90.00 103.27
With the nearest neighbours (Å) after each atom.
Atoms (fractional coordinates):
Ba1 0.1100 0.8900 0.0000  8 Ba 4.34-4.53
Ba2 0.5844 0.4156 0.0000  10 Ba 4.37-4.56
Ba3 0.1389 0.3918 0.5000  1 Pd 3.39
Ba4 0.0670 0.3762 0.0000  8 Ba 4.23-4.56
Ba5 0.6082 0.8611 0.5000  1 Pd 3.39
Ba6 0.6238 0.9330 0.0000  8 Ba 4.23-4.56
Ba7 0.4392 0.1827 0.6917  1 Pd 3.61
Ba8 0.4392 0.1827 0.3083  1 Pd 3.61
Ba9 0.8173 0.5608 0.6917  1 Pd 3.61
Ba10 0.8173 0.5608 0.3083  1 Pd 3.61
Ba11 0.3409 0.6591 0.7646  10 Ba 4.19-4.64, 1 Sr 4.43
Ba12 0.3409 0.6591 0.2354  10 Ba 4.19-4.64, 1 Sr 4.43
Ba13 0.8967 0.1033 0.7230  1 Pd 3.39
Ba14 0.8967 0.1033 0.2770  1 Pd 3.39
Sr1 0.1260 0.8740 0.5000  12 Ba 4.17-4.60
Pd1 0.7535 0.2465 0.5000  8 Ba 3.39-3.61

3.
The following is a PBE calculation of a relaxed structure of Ba2Sr3Pd, from Alexandria via LeMat-Bulk.

Symmetry = C2/m
Total magnetization = 0.00 μB/f.u.
Electronic total energy = -2.58 eV per atom

abc: 6.0702 8.9654 11.7268
angles: 79.09 105.00 90.00
With the nearest neighbours (Å) after each atom.
Atoms (fractional coordinates):
Ba1 0.3039 0.3473 0.6076  6 Sr 4.36-4.68, 6 Ba 4.46-4.48
Ba2 0.3038 0.8473 0.6076  6 Sr 4.36-4.68, 6 Ba 4.46-4.48
Ba3 0.6962 0.1527 0.3924  6 Sr 4.36-4.68, 6 Ba 4.46-4.48
Ba4 0.6961 0.6527 0.3924  6 Sr 4.36-4.68, 6 Ba 4.46-4.48
Sr1 0.5003 0.7500 0.0000  2 Pd 3.04
Sr2 0.4997 0.2500 0.0000  2 Pd 3.04
Sr3 0.9067 0.0461 0.8134  2 Pd 3.05
Sr4 0.0933 0.4539 0.1866  2 Pd 3.05
Sr5 0.9067 0.5461 0.8134  2 Pd 3.05
Sr6 0.0933 0.9539 0.1866  2 Pd 3.05
Pd1 0.9997 0.2500 0.0000  6 Sr 3.04-3.05
Pd2 0.0003 0.7500 0.0000  6 Sr 3.04-3.05

4.
The following is a PBE calculation of a relaxed structure of Ba2SrPd2, from Alexandria via LeMat-Bulk.

Symmetry = I4/mmm
Total magnetization = 0.00 μB/f.u.
Electronic total energy = -3.35 eV per atom

abc: 5.7409 5.7409 7.1856
angles: 66.45 66.45 90.00
With the nearest neighbours (Å) after each atom.
Atoms (fractional coordinates):
Sr1 0.0000 0.0000 0.0000  10 Ba 4.02-4.48, 8 Pd 4.13
Ba1 0.3393 0.3393 0.3214  4 Pd 3.06
Ba2 0.6607 0.6607 0.6786  4 Pd 3.06
Pd1 0.7500 0.2500 0.5000  4 Ba 3.06
Pd2 0.2500 0.7500 0.5000  4 Ba 3.06

5.
The following is a PBE calculation of a relaxed structure of Ba2SrPd, from Alexandria via LeMat-Bulk.

Symmetry = Fm-3m
Total magnetization = 0.00 μB/f.u.
Electronic total energy = -2.58 eV per atom

abc: 6.1181 6.1181 6.1181
angles: 60.00 60.00 60.00
With the nearest neighbours (Å) after each atom.
Atoms (fractional coordinates):
Sr1 0.0000 0.0000 0.0000  8 Ba 3.75
Ba1 0.2500 0.2500 0.2500  4 Pd 3.75, 4 Sr 3.75
Ba2 0.7500 0.7500 0.7500  4 Sr 3.75, 4 Pd 3.75
Pd1 0.5000 0.5000 0.5000  8 Ba 3.75

6.
The following is a PBE calculation of a relaxed structure of Ba2SrPd, from Alexandria via LeMat-Bulk.

Symmetry = I-42d
Total magnetization = 0.00 μB/f.u.
Electronic total energy = -2.86 eV per atom

abc: 11.0894 11.0894 8.4588
angles: 49.04 49.04 90.00
With the nearest neighbours (Å) after each atom.
Atoms (fractional coordinates):
Sr1 0.5000 0.5000 0.0000  2 Pd 3.17
Sr2 0.2500 0.7500 0.5000  2 Pd 3.17
Ba1 0.7505 0.1250 0.2500  2 Pd 3.20
Ba2 0.9995 0.6250 0.2500  2 Pd 3.20
Ba3 0.3750 0.2495 0.7500  2 Pd 3.20
Ba4 0.8750 0.0005 0.7500  2 Pd 3.20
Pd1 0.0000 0.0000 0.0000  2 Sr 3.17, 4 Ba 3.20
Pd2 0.7500 0.2500 0.5000  2 Sr 3.17, 4 Ba 3.20

7.
The following is a PBE calculation of a relaxed structure of BaSr3Pd8, from Alexandria via LeMat-Bulk.

Symmetry = R3m
Total magnetization = 0.00 μB/f.u.
Electronic total energy = -4.65 eV per atom

abc: 5.6516 5.6516 9.7623
angles: 73.17 73.17 60.00
With the nearest neighbours (Å) after each atom.
Atoms (fractional coordinates):
Ba1 0.8751 0.8751 0.3748  12 Pd 3.32-3.34, 4 Sr 3.47
Sr1 0.3747 0.3747 0.8759  12 Pd 3.27-3.31, 4 Sr 3.44-3.45
Sr2 0.0007 0.0007 0.9979  12 Pd 3.26-3.31, 3 Sr 3.45, 1 Ba 3.47
Sr3 0.4994 0.4994 0.5019  12 Pd 3.31-3.35, 1 Sr 3.44, 3 Ba 3.47
Pd1 0.9394 0.4384 0.1838  6 Pd 2.80-2.85
Pd2 0.4349 0.9371 0.6909  6 Pd 2.79-2.84
Pd3 0.4384 0.4384 0.1838  6 Pd 2.80-2.85
Pd4 0.9371 0.9371 0.6909  6 Pd 2.79-2.84
Pd5 0.1872 0.1872 0.4385  6 Pd 2.83-2.85
Pd6 0.6877 0.6877 0.9368  6 Pd 2.79-2.80
Pd7 0.4384 0.9394 0.1838  6 Pd 2.80-2.85
Pd8 0.9371 0.4349 0.6909  6 Pd 2.79-2.84

8.
The following is a PBE calculation of a relaxed structure of BaSr2Pd, from Alexandria via LeMat-Bulk.

Symmetry = R3m
Total magnetization = 0.00 μB/f.u.
Electronic total energy = -2.93 eV per atom

abc: 4.4479 4.4479 10.9675
angles: 78.30 78.30 60.00
With the nearest neighbours (Å) after each atom.
Atoms (fractional coordinates):
Ba1 0.5012 0.5012 0.4965  6 Sr 4.45-4.52, 6 Ba 4.45
Sr1 0.0514 0.0514 0.8457  3 Pd 3.06
Sr2 0.2813 0.2813 0.1562  3 Pd 3.05
Pd1 0.6661 0.6661 0.0016  6 Sr 3.05-3.06